Below is a relaxed structure of TiPd2N2, with properties calculated at the PBE level.

abc: 5.6594 5.6594 4.0061
angles: 90.00 90.00 90.00
Last column: nearest neighbours and their distance in Å.
Fractional coordinates of all 10 atoms:
N: 0.1989 0.6989 0.0000  2 Pd 2.01, 2 Ti 2.04
N: 0.6989 0.8011 0.0000  2 Pd 2.01, 2 Ti 2.04
N: 0.8011 0.3011 0.0000  2 Pd 2.01, 2 Ti 2.04
N: 0.3011 0.1989 0.0000  2 Pd 2.01, 2 Ti 2.04
Pd: 0.1778 0.6778 0.5000  2 N 2.01
Pd: 0.6778 0.8222 0.5000  2 N 2.01
Pd: 0.8222 0.3222 0.5000  2 N 2.01
Pd: 0.3222 0.1778 0.5000  2 N 2.01
Ti: 0.0000 0.0000 0.0000  4 N 2.04
Ti: 0.5000 0.5000 0.0000  4 N 2.04

Summary:
Symmetry   P4/mbm, No. 127
ΔE_f (raw)   -52 kJ/mol of formula units

Below is a relaxed structure of Ac4Nd6Dy, with properties calculated at the PBE level.

abc: 9.8268 9.8268 9.8268
angles: 62.28 137.10 137.10
Last column: nearest neighbours and their distance in Å.
Fractional coordinates of all 11 atoms:
Ac: 0.0000 0.6263 0.0144  1 Dy 3.61, 5 Nd 3.67-3.99, 1 Ac 3.94
Ac: 0.3881 0.3737 0.3737  1 Dy 3.61, 5 Nd 3.67-3.99, 1 Ac 3.94
Ac: 0.0000 0.0144 0.6263  1 Dy 3.61, 5 Nd 3.67-3.99, 1 Ac 3.94
Ac: 0.6119 0.9856 0.9856  1 Dy 3.61, 5 Nd 3.67-3.99, 1 Ac 3.94
Nd: 0.0000 0.7724 0.4326  3 Nd 3.18-3.45
Nd: 0.0000 0.4326 0.7724  3 Nd 3.18-3.45
Nd: 0.3399 0.5674 0.5674  3 Nd 3.18-3.45
Nd: 0.5000 0.5000 0.0000  4 Nd 3.18
Nd: 0.6601 0.2276 0.2276  3 Nd 3.18-3.45
Nd: 0.5000 0.0000 0.5000  4 Nd 3.18
Dy: 0.0000 0.0000 0.0000  8 Nd 3.59-3.77, 4 Ac 3.61

Summary:
Symmetry   I-42m, No. 121
VASP energy   -4.268 eV per atom

Below is a relaxed structure of K4TeW, with properties calculated at the PBE level.

abc: 6.9234 6.9234 6.9234
angles: 60.00 60.00 60.00
Last column: nearest neighbours and their distance in Å.
Fractional coordinates of all 6 atoms:
K: 0.8714 0.3762 0.3762  6 K 3.43-3.49
K: 0.3762 0.3762 0.8714  6 K 3.43-3.49
K: 0.3762 0.8714 0.3762  6 K 3.43-3.49
K: 0.3762 0.3762 0.3762  6 K 3.43-3.49
Te: 0.7500 0.7500 0.7500  12 K 4.06, 4 W 4.24
W: 0.0000 0.0000 0.0000  12 K 4.06, 4 Te 4.24

Summary:
Symmetry   F-43m, No. 216
ΔE_f (raw)   558 kJ/mol of formula units

Calculated total magnetic moment in order - 0.000, 0.000, 0.691 μB per atom